Record 1
The following is a DFT calculation (PBE) of a geometry-optimized Pm2Dy4Th5 structure.

Output
Crystal system: monoclinic
Density of states at the Fermi level: 1.608 states/eV per atom
Energy of formation from the pure elements: 0.134 eV per atom

a = 8.8271 Å, b = 3.4742 Å, c = 11.7262 Å
α = 90.00°, β = 94.30°, γ = 90.00°
Last column: nearest neighbours and their distance in Å.
Fractional positions:
Pm1 0.0552 0.0000 0.1358  3 Pm 3.26-3.47, 2 Th 3.30-3.31
Pm2 0.9448 0.0000 0.8642  3 Pm 3.26-3.47, 2 Th 3.30-3.31
Dy1 0.1597 0.5000 0.4051  3 Dy 3.47-3.72, 8 Th 3.58-3.78, 2 Pm 3.66
Dy2 0.3039 0.5000 0.9452  3 Dy 3.47-3.60, 6 Th 3.60-3.67, 4 Pm 3.68
Dy3 0.6961 0.5000 0.0548  3 Dy 3.47-3.60, 6 Th 3.60-3.67, 4 Pm 3.68
Dy4 0.8403 0.5000 0.5949  3 Dy 3.47-3.72, 8 Th 3.58-3.78, 2 Pm 3.66
Th1 0.2049 0.0000 0.6752  1 Pm 3.31, 4 Th 3.44-3.47, 4 Dy 3.61-3.66
Th2 0.4226 0.0000 0.2132  1 Pm 3.30, 4 Th 3.38-3.47, 4 Dy 3.60-3.67
Th3 0.5000 0.0000 0.5000  6 Th 3.38-3.47, 4 Dy 3.58
Th4 0.5774 0.0000 0.7868  1 Pm 3.30, 4 Th 3.38-3.47, 4 Dy 3.60-3.67
Th5 0.7951 0.0000 0.3248  1 Pm 3.31, 4 Th 3.44-3.47, 4 Dy 3.61-3.66

Record 2
The following is a DFT calculation (PBE) of a geometry-optimized TcO2F2 structure.

Output
Polymorph energy (0 for the lowest one): 1951 meV per atom
Crystal system: tetragonal
Density of states at the Fermi level: 0.940 states/eV per atom
Raw formation energy: 0.764 eV/atom

a = 3.5814 Å, b = 3.5814 Å, c = 4.3443 Å
α = 90.00°, β = 90.00°, γ = 90.00°
Last column: nearest neighbours and their distance in Å.
Fractional positions:
Tc1 0.0000 0.0000 0.0000  4 F 2.53, 8 O 2.82
O1 0.0000 0.5000 0.5000  2 F 1.79
O2 0.5000 0.0000 0.5000  2 F 1.79
F1 0.5000 0.5000 0.0000  2 F 2.17
F2 0.5000 0.5000 0.5000  4 O 1.79

Record 3
The following is a DFT calculation (PBE) of a geometry-optimized La2Zn3Pd4 structure.

Output
Crystal system: orthorhombic
Density of states at the Fermi level: 0.470 states/eV per atom
Energy of formation from the pure elements: -0.706 eV per atom

a = 8.4928 Å, b = 8.4928 Å, c = 7.6285 Å
α = 90.00°, β = 90.00°, γ = 140.81°
Last column: nearest neighbours and their distance in Å.
Fractional positions:
La1 0.1142 0.8858 0.9231  5 Pd 2.98-3.22, 2 Zn 3.19
La2 0.3858 0.6142 0.4231  5 Pd 2.98-3.22, 2 Zn 3.19
La3 0.6142 0.3858 0.5769  5 Pd 2.98-3.22, 2 Zn 3.19
La4 0.8858 0.1142 0.0769  5 Pd 2.98-3.22, 2 Zn 3.19
Zn1 0.0000 0.0000 0.5000  6 Pd 2.59-2.82
Zn2 0.0220 0.4780 0.7500  5 Pd 2.63-2.73, 2 Zn 2.85
Zn3 0.4780 0.0220 0.2500  5 Pd 2.63-2.73, 2 Zn 2.85
Zn4 0.5000 0.5000 0.0000  6 Pd 2.59-2.82
Zn5 0.5220 0.9780 0.7500  5 Pd 2.63-2.73, 2 Zn 2.85
Zn6 0.9780 0.5220 0.2500  5 Pd 2.63-2.73, 2 Zn 2.85
Pd1 0.1761 0.8239 0.5212  5 Zn 2.65-2.82
Pd2 0.1866 0.3134 0.7500  3 Zn 2.59-2.63, 2 Pd 2.85
Pd3 0.3134 0.1866 0.2500  3 Zn 2.59-2.63, 2 Pd 2.85
Pd4 0.3239 0.6761 0.0212  5 Zn 2.65-2.82
Pd5 0.6761 0.3239 0.9788  5 Zn 2.65-2.82
Pd6 0.6866 0.8134 0.7500  3 Zn 2.59-2.63, 2 Pd 2.85
Pd7 0.8134 0.6866 0.2500  3 Zn 2.59-2.63, 2 Pd 2.85
Pd8 0.8239 0.1761 0.4788  5 Zn 2.65-2.82

Record 4
The following is a DFT calculation (PBE) of a geometry-optimized TlC structure.

Output
Polymorph energy (0 for the lowest one): 2025 meV per atom
Crystal system: cubic
Density of states at the Fermi level: 0.496 states/eV per atom
Energy of formation from the pure elements: 2.809 eV per atom

a = 4.7253 Å, b = 4.7253 Å, c = 4.7253 Å
α = 60.00°, β = 60.00°, γ = 60.00°
Last column: nearest neighbours and their distance in Å.
Fractional positions:
Tl1 0.1250 0.1250 0.1250  4 Tl 2.89, 4 C 2.89
Tl2 0.8750 0.8750 0.8750  4 Tl 2.89, 4 C 2.89
C1 0.3750 0.3750 0.3750  4 Tl 2.89, 4 C 2.89
C2 0.6250 0.6250 0.6250  4 Tl 2.89, 4 C 2.89

Record 5
The following is a DFT calculation (PBE) of a geometry-optimized Y2ZrPd9 structure.

Output
Crystal system: tetragonal
Density of states at the Fermi level: 0.632 states/eV per atom
Energy of formation from the pure elements: -0.844 eV per atom

a = 4.0927 Å, b = 4.0927 Å, c = 12.3360 Å
α = 90.00°, β = 90.00°, γ = 90.00°
Last column: nearest neighbours and their distance in Å.
Fractional positions:
Y1 0.0000 0.0000 0.1686  12 Pd 2.89-2.96
Y2 0.0000 0.0000 0.8314  12 Pd 2.89-2.96
Zr1 0.0000 0.0000 0.5000  12 Pd 2.83-2.89
Pd1 0.0000 0.5000 0.0000  8 Pd 2.89-2.94, 4 Y 2.92
Pd2 0.0000 0.5000 0.3414  2 Zr 2.83, 8 Pd 2.83-2.93, 2 Y 2.96
Pd3 0.0000 0.5000 0.6586  2 Zr 2.83, 8 Pd 2.83-2.93, 2 Y 2.96
Pd4 0.5000 0.0000 0.0000  8 Pd 2.89-2.94, 4 Y 2.92
Pd5 0.5000 0.0000 0.3414  2 Zr 2.83, 8 Pd 2.83-2.93, 2 Y 2.96
Pd6 0.5000 0.0000 0.6586  2 Zr 2.83, 8 Pd 2.83-2.93, 2 Y 2.96
Pd7 0.5000 0.5000 0.1710  4 Y 2.89, 8 Pd 2.93-2.94
Pd8 0.5000 0.5000 0.5000  8 Pd 2.83, 4 Zr 2.89
Pd9 0.5000 0.5000 0.8290  4 Y 2.89, 8 Pd 2.93-2.94

Record 6
The following is a DFT calculation (PBE) of a geometry-optimized Sc3Zn2Rh structure.

Output
Crystal system: orthorhombic
Density of states at the Fermi level: 0.532 states/eV per atom
Energy of formation from the pure elements: -0.589 eV per atom

a = 7.3169 Å, b = 7.3169 Å, c = 3.3610 Å
α = 90.00°, β = 90.00°, γ = 142.89°
Last column: nearest neighbours and their distance in Å.
Fractional positions:
Sc1 0.0000 0.0000 0.0000  4 Rh 2.87, 4 Zn 2.91, 4 Sc 3.21
Sc2 0.3409 0.6591 0.0000  2 Rh 2.77, 6 Zn 2.88-2.90
Sc3 0.6591 0.3409 0.0000  2 Rh 2.77, 6 Zn 2.88-2.90
Zn1 0.1709 0.8291 0.5000  8 Sc 2.88-2.91, 2 Zn 3.20
Zn2 0.8291 0.1709 0.5000  8 Sc 2.88-2.91, 2 Zn 3.20
Rh1 0.5000 0.5000 0.5000  8 Sc 2.77-2.87

Record 7
The following is a DFT calculation (PBE) of a geometry-optimized PmHoPd structure.

Output
Polymorph energy (0 for the lowest one): 0 meV per atom
Crystal system: tetragonal
Density of states at the Fermi level: 1.031 states/eV per atom
Energy of formation from the pure elements: -0.521 eV per atom

a = 6.6607 Å, b = 6.6607 Å, c = 6.6607 Å
α = 148.76°, β = 148.76°, γ = 44.76°
Last column: nearest neighbours and their distance in Å.
Fractional positions:
Pm1 0.0000 0.0000 0.0000  4 Pd 3.16, 1 Ho 3.40
Ho1 0.2761 0.2761 0.0000  4 Pd 2.96
Pd1 0.6530 0.6530 0.0000  4 Ho 2.96, 4 Pm 3.16

Record 8
The following is a DFT calculation (PBE) of a geometry-optimized SmThSc4 structure.

Output
Crystal system: orthorhombic
Density of states at the Fermi level: 1.715 states/eV per atom
Energy of formation from the pure elements: 0.049 eV per atom

a = 9.8229 Å, b = 9.8229 Å, c = 5.3320 Å
α = 90.00°, β = 90.00°, γ = 140.64°
Last column: nearest neighbours and their distance in Å.
Fractional positions:
Sm1 0.1246 0.8754 0.7500  2 Th 3.31, 12 Sc 3.50
Sm2 0.8754 0.1246 0.2500  2 Th 3.31, 12 Sc 3.50
Th1 0.3739 0.6261 0.2500  2 Sm 3.31, 12 Sc 3.48-3.51
Th2 0.6261 0.3739 0.7500  2 Sm 3.31, 12 Sc 3.48-3.51
Sc1 0.0418 0.4591 0.7500  5 Sc 3.07-3.31
Sc2 0.2111 0.2945 0.7500  5 Sc 3.08-3.34
Sc3 0.2945 0.2111 0.2500  5 Sc 3.08-3.34
Sc4 0.4591 0.0418 0.2500  5 Sc 3.07-3.31
Sc5 0.5409 0.9582 0.7500  5 Sc 3.07-3.31
Sc6 0.7055 0.7889 0.7500  5 Sc 3.08-3.34
Sc7 0.7889 0.7055 0.2500  5 Sc 3.08-3.34
Sc8 0.9582 0.5409 0.2500  5 Sc 3.07-3.31